PBE-GGA KB2Rh2, optimized geometry; E above lowest polymorph = 0.0 kJ/mol of atoms; magnetic moment = 0.00 μB per cell; space-group type = C2/m
1.0
3.851 -0.107 0.901
-0.104 3.852 0.901
0.521 0.520 6.463
K B Rh
1 2 2
direct
0.000 0.000 0.000
0.696 0.696 0.610
0.304 0.304 0.390
0.750 0.250 0.500
0.250 0.750 0.500

---

PBE-GGA Nb4BC2, optimized geometry; magnetic moment = 0.00 μB per cell; DFT total energy = -9.897 eV per atom; space-group type = Cmcm
1.0
-1.014 2.601 1.604
-3.820 -3.794 0.504
4.796 -3.642 8.939
Nb B C
8 2 4
direct
0.772 0.545 0.117
0.772 0.545 0.383
0.228 0.455 0.883
0.228 0.455 0.617
0.946 0.892 0.750
0.054 0.108 0.250
0.500 0.000 0.000
0.500 0.000 0.500
0.604 0.208 0.750
0.396 0.792 0.250
0.138 0.276 0.436
0.862 0.724 0.936
0.138 0.276 0.064
0.862 0.724 0.564

---

PBE-GGA K6I5, optimized geometry; magnetic moment = 0.87 μB per cell; DFT total energy = -2.610 eV per atom; space-group type = C2/m
1.0
8.683 0.306 -1.236
2.076 7.398 -4.172
-0.215 -0.177 8.741
K I
6 5
direct
0.752 0.752 0.000
0.248 0.248 0.000
0.751 0.083 0.669
0.249 0.586 0.669
0.249 0.917 0.331
0.751 0.414 0.331
0.500 0.500 0.000
0.000 0.667 0.334
0.000 0.333 0.666
0.500 0.833 0.667
0.500 0.167 0.333

---

PBE-GGA Ba5Sr2, optimized geometry; E above lowest polymorph = 1.5 kJ/mol of atoms; magnetic moment = 0.00 μB per cell; space-group type = C2/m
1.0
-6.020 -1.214 -1.406
3.828 -5.999 2.902
-2.781 3.873 8.560
Ba Sr
5 2
direct
0.358 0.716 0.071
0.642 0.284 0.929
0.214 0.428 0.643
0.500 0.000 0.500
0.786 0.572 0.357
0.072 0.143 0.213
0.928 0.857 0.787

---

PBE-GGA NaInTe2, optimized geometry; magnetic moment = 0.00 μB per cell; DFT total energy = -3.087 eV per atom; space-group type = I4_1/amd
1.0
6.332 0.000 0.000
0.000 6.332 0.000
3.166 3.166 6.254
Na Te In
2 4 2
direct
0.500 0.500 0.000
0.250 0.750 0.500
0.772 0.772 0.456
0.978 0.478 0.044
0.228 0.228 0.544
0.522 0.022 0.956
0.000 0.000 0.000
0.750 0.250 0.500

---

PBE-GGA Sm2TeSe, optimized geometry; E above lowest polymorph = 22.6 kJ/mol of atoms; magnetic moment = 0.00 μB per cell; space-group type = Fm-3m
1.0
-5.077 -1.228 -0.800
-1.337 -4.908 -1.428
-2.525 -3.149 3.410
Te Se Sm
1 1 2
direct
0.000 0.000 0.000
0.500 0.500 0.500
0.250 0.250 0.250
0.750 0.750 0.750

---

PBE-GGA SrAl2Te, optimized geometry; magnetic moment = 0.00 μB per cell; DFT total energy = -3.332 eV per atom; space-group type = P4/mmm
1.0
-1.073 -1.634 -4.118
-0.390 -4.186 1.763
-4.963 0.863 0.951
Sr Te Al
1 1 2
direct
0.500 0.000 0.500
0.000 0.500 0.500
0.000 0.000 0.000
0.500 0.500 0.000

---

PBE-GGA NpTeS, optimized geometry; E above lowest polymorph = 14.4 kJ/mol of atoms; magnetic moment = 3.06 μB per cell; space-group type = P-6m2
1.0
4.243 0.000 0.000
0.000 4.545 0.000
0.000 -2.272 3.936
Np S Te
1 1 1
direct
0.166 0.333 0.667
0.167 0.000 0.000
0.667 0.667 0.333

---

PBE-GGA TmGa2Ni2Pt, optimized geometry; magnetic moment = 0.00 μB per cell; DFT total energy = -4.807 eV per atom; space-group type = P4/mmm
1.0
4.681 0.000 0.000
0.000 4.681 0.000
0.000 0.000 5.280
Tm Ga Ni Pt
1 2 2 1
direct
0.000 0.000 0.500
0.500 0.000 0.000
0.000 0.500 0.000
0.500 0.500 0.741
0.500 0.500 0.259
0.000 0.000 0.000

---

PBE-GGA HfZn4Cu, optimized geometry; E above lowest polymorph = 20.0 kJ/mol of atoms; magnetic moment = 0.00 μB per cell; space-group type = I4/mcm
1.0
-1.096 -5.743 1.317
5.123 -0.272 3.098
-0.779 -1.383 6.968
Hf Zn Cu
2 8 2
direct
0.500 0.500 0.000
0.000 0.000 0.000
0.014 0.194 0.292
0.194 0.694 0.292
0.514 0.014 0.292
0.486 0.986 0.708
0.806 0.306 0.708
0.986 0.806 0.708
0.306 0.486 0.708
0.694 0.514 0.292
0.750 0.750 0.500
0.250 0.250 0.500

---

PBE-GGA Na2HgSb, optimized geometry; magnetic moment = 0.00 μB per cell; DFT total energy = -2.036 eV per atom; space-group type = P4/mmm
1.0
3.582 0.000 0.000
0.000 3.582 0.000
0.000 0.000 8.325
Sb Hg Na
1 1 2
direct
0.500 0.500 0.500
0.500 0.500 0.000
0.000 0.000 0.744
0.000 0.000 0.256

---

PBE-GGA BeZnMo2, optimized geometry; E above lowest polymorph = 2.2 kJ/mol of atoms; magnetic moment = 0.00 μB per cell; space-group type = P4/mmm
1.0
2.641 0.000 0.000
0.000 2.641 0.000
0.000 0.000 7.857
Be Mo Zn
1 2 1
direct
0.500 0.500 0.750
0.000 0.000 0.978
0.000 0.000 0.522
0.500 0.500 0.250